1.
Density functional theory data (PBE) for a geometry-optimized TbPrN structure.

Computed properties:
- energy relative to the lowest polymorph listed for this composition (meV/atom) = 466.9
- energy relative to the elements, uncorrected (eV per atom) = -0.45
- raw total energy (eV per atom) = -6.36

Unit cell a=5.057 b=5.057 c=5.057 alpha=140.44 beta=100.54 gamma=92.64
Element x y z (fractional)
Tb1 0.000 0.000 0.000
Pr1 0.466 0.466 0.000
N1 0.210 0.710 0.500



2.
Density functional theory data (PBE) for a geometry-optimized Tb3PrN structure.

Computed properties:
- energy relative to the elements, uncorrected (eV per atom) = -0.49
- raw total energy (eV per atom) = -5.89

Unit cell a=5.016 b=5.016 c=5.016 alpha=90.00 beta=90.00 gamma=90.00
Element x y z (fractional)
Tb1 0.000 0.000 0.500
Tb2 0.000 0.500 0.000
Tb3 0.500 0.000 0.000
Pr1 0.500 0.500 0.500
N1 0.000 0.000 0.000



3.
Density functional theory data (PBE) for a geometry-optimized TbPr3N4 structure.

Computed properties:
- energy relative to the lowest polymorph listed for this composition (meV/atom) = 12.6
- energy relative to the elements, uncorrected (eV per atom) = -1.35
- raw total energy (eV per atom) = -7.88

Unit cell a=5.158 b=5.158 c=5.158 alpha=90.00 beta=90.00 gamma=90.00
Element x y z (fractional)
Tb1 0.000 0.000 0.000
Pr1 0.000 0.500 0.500
Pr2 0.500 0.000 0.500
Pr3 0.500 0.500 0.000
N1 0.000 0.000 0.500
N2 0.000 0.500 0.000
N3 0.500 0.000 0.000
N4 0.500 0.500 0.500



4.
Density functional theory data (PBE) for a geometry-optimized TbPr4N5 structure.

Computed properties:
- energy relative to the elements, uncorrected (eV per atom) = -1.35
- raw total energy (eV per atom) = -7.89

Unit cell a=6.318 b=6.318 c=6.318 alpha=99.90 beta=99.90 gamma=131.02
Element x y z (fractional)
Tb1 0.000 0.000 0.000
Pr1 0.208 0.406 0.600
Pr2 0.406 0.805 0.198
Pr3 0.608 0.208 0.802
Pr4 0.805 0.608 0.400
N1 0.126 0.736 0.805
N2 0.321 0.126 0.390
N3 0.549 0.549 0.000
N4 0.736 0.931 0.610
N5 0.931 0.321 0.195



5.
Density functional theory data (PBE) for a geometry-optimized TbPr3N structure.

Computed properties:
- energy relative to the elements, uncorrected (eV per atom) = -0.42
- raw total energy (eV per atom) = -5.88

Unit cell a=5.193 b=5.193 c=5.193 alpha=90.00 beta=90.00 gamma=90.00
Element x y z (fractional)
Tb1 0.000 0.000 0.000
Pr1 0.000 0.500 0.500
Pr2 0.500 0.000 0.500
Pr3 0.500 0.500 0.000
N1 0.500 0.500 0.500



6.
Density functional theory data (PBE) for a geometry-optimized Tb5PrN6 structure.

Computed properties:
- energy relative to the elements, uncorrected (eV per atom) = -1.58
- raw total energy (eV per atom) = -8.07

Unit cell a=6.118 b=6.118 c=6.115 alpha=99.59 beta=99.59 gamma=120.00
Element x y z (fractional)
Tb1 0.000 0.000 0.000
Tb2 0.166 0.834 0.500
Tb3 0.332 0.668 0.000
Tb4 0.668 0.332 0.000
Tb5 0.834 0.166 0.500
Pr1 0.500 0.500 0.500
N1 0.074 0.415 0.246
N2 0.243 0.243 0.754
N3 0.415 0.074 0.246
N4 0.585 0.926 0.754
N5 0.757 0.757 0.246
N6 0.926 0.585 0.754